Entry 1:
First-principles (PBE) data for a relaxed structure of Dy4YSc3, as listed in Alexandria.

The structure in CIF format:
```
data_Dy4YSc3
_cell_length_a 13.329
_cell_length_b 13.329
_cell_length_c 5.622
_cell_angle_alpha 94.58
_cell_angle_beta 94.58
_cell_angle_gamma 14.80
_symmetry_space_group_name_H-M 'P 1'
_symmetry_Int_Tables_number 1
loop_
_symmetry_equiv_pos_as_xyz
'x,y,z'
loop_
_atom_site_label
_atom_site_fract_x
_atom_site_fract_y
_atom_site_fract_z
Dy1 0.102 0.102 0.029
Dy2 0.186 0.186 0.567
Dy3 0.814 0.814 0.433
Dy4 0.898 0.898 0.971
Y1 0.000 0.000 0.500
Sc1 0.294 0.294 0.922
Sc2 0.500 0.500 0.000
Sc3 0.706 0.706 0.078
```

Output
* raw total energy: -41.39 eV/cell
* density of states at the Fermi level: 12.97 states/eV/cell
* total moment: 0.000 μB per atom
* excess energy over the best structure of this formula in the dataset: 280.2 meV/atom

***

Entry 2:
First-principles (PBE) data for a relaxed structure of BaPbAuO4, as listed in Alexandria.

The structure in CIF format:
```
data_BaPbAuO4
_cell_length_a 6.264
_cell_length_b 6.264
_cell_length_c 7.543
_cell_angle_alpha 90.00
_cell_angle_beta 90.00
_cell_angle_gamma 111.74
_symmetry_space_group_name_H-M 'P 1'
_symmetry_Int_Tables_number 1
loop_
_symmetry_equiv_pos_as_xyz
'x,y,z'
loop_
_atom_site_label
_atom_site_fract_x
_atom_site_fract_y
_atom_site_fract_z
Ba1 0.000 0.000 0.000
Ba2 0.000 0.000 0.500
Pb1 0.376 0.624 0.750
Pb2 0.624 0.376 0.250
Au1 0.302 0.698 0.250
Au2 0.698 0.302 0.750
O1 0.261 0.739 0.515
O2 0.261 0.739 0.985
O3 0.266 0.276 0.250
O4 0.276 0.266 0.750
O5 0.724 0.734 0.250
O6 0.734 0.724 0.750
O7 0.739 0.261 0.015
O8 0.739 0.261 0.485
```

Output
* energy relative to the elements, uncorrected: -0.957 eV per atom
* raw total energy: -70.87 eV/cell
* density of states at the Fermi level: 11.86 states/eV/cell
* total moment: 0.000 μB per atom

***

Entry 3:
First-principles (PBE) data for a relaxed structure of AgTe2O6, as listed in Alexandria.

The structure in CIF format:
```
data_AgTe2O6
_cell_length_a 6.573
_cell_length_b 6.573
_cell_length_c 2.949
_cell_angle_alpha 90.00
_cell_angle_beta 90.00
_cell_angle_gamma 120.00
_symmetry_space_group_name_H-M 'P 1'
_symmetry_Int_Tables_number 1
loop_
_symmetry_equiv_pos_as_xyz
'x,y,z'
loop_
_atom_site_label
_atom_site_fract_x
_atom_site_fract_y
_atom_site_fract_z
Ag1 0.000 0.000 0.000
Te1 0.333 0.667 0.752
Te2 0.667 0.333 0.248
O1 0.137 0.713 0.245
O2 0.287 0.424 0.245
O3 0.424 0.137 0.755
O4 0.576 0.863 0.245
O5 0.713 0.576 0.755
O6 0.863 0.287 0.755
```

Output
* energy relative to the elements, uncorrected: -0.446 eV per atom
* raw total energy: -42.90 eV/cell
* density of states at the Fermi level: 1.50 states/eV/cell
* total moment: 0.000 μB per atom
* excess energy over the best structure of this formula in the dataset: 288.8 meV/atom

***

Entry 4:
First-principles (PBE) data for a relaxed structure of Pm2Ga4GePd3, as listed in Alexandria.

The structure in CIF format:
```
data_Pm2Ga4GePd3
_cell_length_a 4.308
_cell_length_b 4.308
_cell_length_c 10.490
_cell_angle_alpha 90.00
_cell_angle_beta 90.00
_cell_angle_gamma 90.00
_symmetry_space_group_name_H-M 'P 1'
_symmetry_Int_Tables_number 1
loop_
_symmetry_equiv_pos_as_xyz
'x,y,z'
loop_
_atom_site_label
_atom_site_fract_x
_atom_site_fract_y
_atom_site_fract_z
Pm1 0.000 0.500 0.245
Pm2 0.500 0.000 0.755
Ga1 0.000 0.000 0.000
Ga2 0.000 0.500 0.640
Ga3 0.500 0.000 0.360
Ga4 0.500 0.500 0.000
Ge1 0.000 0.000 0.500
Pd1 0.000 0.500 0.873
Pd2 0.500 0.000 0.127
Pd3 0.500 0.500 0.500
```

Output
* raw total energy: -49.08 eV/cell
* density of states at the Fermi level: 7.58 states/eV/cell
* total moment: 0.000 μB per atom

***

Entry 5:
First-principles (PBE) data for a relaxed structure of La2CeNd3, as listed in Alexandria.

The structure in CIF format:
```
data_La2CeNd3
_cell_length_a 9.240
_cell_length_b 9.240
_cell_length_c 7.123
_cell_angle_alpha 101.05
_cell_angle_beta 101.05
_cell_angle_gamma 45.01
_symmetry_space_group_name_H-M 'P 1'
_symmetry_Int_Tables_number 1
loop_
_symmetry_equiv_pos_as_xyz
'x,y,z'
loop_
_atom_site_label
_atom_site_fract_x
_atom_site_fract_y
_atom_site_fract_z
La1 0.169 0.175 0.086
La2 0.175 0.169 0.586
La3 0.825 0.831 0.414
La4 0.831 0.825 0.914
Ce1 0.240 0.760 0.250
Ce2 0.760 0.240 0.750
Nd1 0.213 0.787 0.750
Nd2 0.362 0.366 0.432
Nd3 0.366 0.362 0.932
Nd4 0.634 0.638 0.068
Nd5 0.638 0.634 0.568
Nd6 0.787 0.213 0.250
```

Output
* raw total energy: -58.44 eV/cell
* density of states at the Fermi level: 21.49 states/eV/cell
* total moment: 0.116 μB per atom

***

Entry 6:
First-principles (PBE) data for a relaxed structure of Ba5As2PO, as listed in Alexandria.

The structure in CIF format:
```
data_Ba5As2PO
_cell_length_a 9.963
_cell_length_b 9.963
_cell_length_c 13.657
_cell_angle_alpha 90.00
_cell_angle_beta 90.00
_cell_angle_gamma 152.42
_symmetry_space_group_name_H-M 'P 1'
_symmetry_Int_Tables_number 1
loop_
_symmetry_equiv_pos_as_xyz
'x,y,z'
loop_
_atom_site_label
_atom_site_fract_x
_atom_site_fract_y
_atom_site_fract_z
Ba1 0.018 0.982 0.500
Ba2 0.150 0.850 0.747
Ba3 0.163 0.837 0.115
Ba4 0.218 0.782 0.426
Ba5 0.479 0.521 0.738
Ba6 0.521 0.479 0.238
Ba7 0.782 0.218 0.926
Ba8 0.837 0.163 0.615
Ba9 0.850 0.150 0.247
Ba10 0.982 0.018 0.000
As1 0.361 0.639 0.070
As2 0.395 0.605 0.424
As3 0.605 0.395 0.924
As4 0.639 0.361 0.570
P1 0.313 0.687 0.773
P2 0.687 0.313 0.273
O1 0.032 0.968 0.165
O2 0.968 0.032 0.665
```

Output
* energy relative to the elements, uncorrected: -1.312 eV per atom
* raw total energy: -82.18 eV/cell
* density of states at the Fermi level: 12.20 states/eV/cell
* total moment: 0.064 μB per atom

***

Entry 7:
First-principles (PBE) data for a relaxed structure of FeCu2Ag, as listed in Alexandria.

The structure in CIF format:
```
data_FeCu2Ag
_cell_length_a 2.613
_cell_length_b 4.155
_cell_length_c 5.185
_cell_angle_alpha 90.00
_cell_angle_beta 103.47
_cell_angle_gamma 90.00
_symmetry_space_group_name_H-M 'P 1'
_symmetry_Int_Tables_number 1
loop_
_symmetry_equiv_pos_as_xyz
'x,y,z'
loop_
_atom_site_label
_atom_site_fract_x
_atom_site_fract_y
_atom_site_fract_z
Fe1 0.000 0.000 0.000
Cu1 0.349 0.000 0.538
Cu2 0.354 0.500 0.799
Ag1 0.708 0.500 0.305
```

Output
* raw total energy: -18.42 eV/cell
* density of states at the Fermi level: 2.88 states/eV/cell
* total moment: 0.722 μB per atom
* excess energy over the best structure of this formula in the dataset: 101.2 meV/atom

***

Entry 8:
First-principles (PBE) data for a relaxed structure of Ir2AuBr, as listed in Alexandria.

The structure in CIF format:
```
data_Ir2AuBr
_cell_length_a 2.708
_cell_length_b 3.731
_cell_length_c 8.341
_cell_angle_alpha 90.00
_cell_angle_beta 90.00
_cell_angle_gamma 90.00
_symmetry_space_group_name_H-M 'P 1'
_symmetry_Int_Tables_number 1
loop_
_symmetry_equiv_pos_as_xyz
'x,y,z'
loop_
_atom_site_label
_atom_site_fract_x
_atom_site_fract_y
_atom_site_fract_z
Ir1 0.000 0.000 0.000
Ir2 0.500 0.500 0.130
Au1 0.000 0.000 0.354
Br1 0.500 0.500 0.641
```

Output
* energy relative to the elements, uncorrected: 0.592 eV per atom
* raw total energy: -20.31 eV/cell
* density of states at the Fermi level: 3.23 states/eV/cell
* total moment: 0.000 μB per atom
* excess energy over the best structure of this formula in the dataset: 137.3 meV/atom

***

Entry 9:
First-principles (PBE) data for a relaxed structure of Nd3Ge2Rh3, as listed in Alexandria.

The structure in CIF format:
```
data_Nd3Ge2Rh3
_cell_length_a 5.684
_cell_length_b 5.684
_cell_length_c 15.279
_cell_angle_alpha 90.00
_cell_angle_beta 90.00
_cell_angle_gamma 135.91
_symmetry_space_group_name_H-M 'P 1'
_symmetry_Int_Tables_number 1
loop_
_symmetry_equiv_pos_as_xyz
'x,y,z'
loop_
_atom_site_label
_atom_site_fract_x
_atom_site_fract_y
_atom_site_fract_z
Nd1 0.077 0.923 0.607
Nd2 0.077 0.923 0.893
Nd3 0.363 0.637 0.750
Nd4 0.637 0.363 0.250
Nd5 0.923 0.077 0.107
Nd6 0.923 0.077 0.393
Ge1 0.211 0.789 0.104
Ge2 0.211 0.789 0.396
Ge3 0.789 0.211 0.604
Ge4 0.789 0.211 0.896
Rh1 0.340 0.660 0.250
Rh2 0.351 0.649 0.531
Rh3 0.351 0.649 0.969
Rh4 0.649 0.351 0.031
Rh5 0.649 0.351 0.469
Rh6 0.660 0.340 0.750
```

Output
* raw total energy: -104.01 eV/cell
* density of states at the Fermi level: 11.47 states/eV/cell
* total moment: 0.000 μB per atom
* excess energy over the best structure of this formula in the dataset: 65.1 meV/atom

***

Entry 10:
First-principles (PBE) data for a relaxed structure of Fe2Rh, as listed in Alexandria.

The structure in CIF format:
```
data_Fe2Rh
_cell_length_a 11.827
_cell_length_b 11.827
_cell_length_c 11.827
_cell_angle_alpha 167.27
_cell_angle_beta 167.27
_cell_angle_gamma 18.04
_symmetry_space_group_name_H-M 'P 1'
_symmetry_Int_Tables_number 1
loop_
_symmetry_equiv_pos_as_xyz
'x,y,z'
loop_
_atom_site_label
_atom_site_fract_x
_atom_site_fract_y
_atom_site_fract_z
Fe1 0.294 0.544 0.750
Fe2 0.456 0.706 0.750
Fe3 0.544 0.294 0.250
Fe4 0.706 0.456 0.250
Rh1 0.125 0.875 0.250
Rh2 0.875 0.125 0.750
```

Output
* raw total energy: -47.28 eV/cell
* density of states at the Fermi level: 8.93 states/eV/cell
* total moment: 1.851 μB per atom

***

Entry 11:
First-principles (PBE) data for a relaxed structure of CeTh2Cd, as listed in Alexandria.

The structure in CIF format:
```
data_CeTh2Cd
_cell_length_a 12.527
_cell_length_b 12.527
_cell_length_c 12.527
_cell_angle_alpha 15.72
_cell_angle_beta 15.72
_cell_angle_gamma 15.72
_symmetry_space_group_name_H-M 'P 1'
_symmetry_Int_Tables_number 1
loop_
_symmetry_equiv_pos_as_xyz
'x,y,z'
loop_
_atom_site_label
_atom_site_fract_x
_atom_site_fract_y
_atom_site_fract_z
Ce1 0.000 0.000 0.000
Th1 0.411 0.411 0.411
Th2 0.589 0.589 0.589
Cd1 0.500 0.500 0.500
```

Output
* raw total energy: -20.64 eV/cell
* density of states at the Fermi level: 7.40 states/eV/cell
* total moment: 0.000 μB per atom
* excess energy over the best structure of this formula in the dataset: 260.4 meV/atom

***

Entry 12:
First-principles (PBE) data for a relaxed structure of AcCeHf, as listed in Alexandria.

The structure in CIF format:
```
data_AcCeHf
_cell_length_a 5.995
_cell_length_b 5.995
_cell_length_c 11.243
_cell_angle_alpha 117.55
_cell_angle_beta 117.55
_cell_angle_gamma 32.50
_symmetry_space_group_name_H-M 'P 1'
_symmetry_Int_Tables_number 1
loop_
_symmetry_equiv_pos_as_xyz
'x,y,z'
loop_
_atom_site_label
_atom_site_fract_x
_atom_site_fract_y
_atom_site_fract_z
Ac1 0.000 0.000 0.000
Ac2 0.646 0.646 0.357
Ce1 0.809 0.809 0.171
Ce2 0.994 0.994 0.544
Hf1 0.193 0.193 0.855
Hf2 0.779 0.779 0.684
```

Output
* raw total energy: -37.37 eV/cell
* density of states at the Fermi level: 13.33 states/eV/cell
* total moment: 0.280 μB per atom